Record 1
{"formula": "BaYBe2V", "functional": "GGA-PBE", "state": "optimized geometry", "lattice": [[4.8684, 0.0000, 0.0000], [0.0000, 4.8684, 0.0000], [0.0000, 0.0000, 5.5623]], "species": ["Ba", "Y", "Be", "Be", "V"], "fractional_positions": [[0.0000, 0.0000, 0.0000], [0.0000, 0.0000, 0.5000], [0.0000, 0.5000, 0.0000], [0.5000, 0.0000, 0.0000], [0.5000, 0.5000, 0.5000]], "formation_energy_ev_per_atom": 2.37}

Record 2
{"formula": "ZnI2Cl2", "functional": "GGA-PBE", "state": "optimized geometry", "lattice": [[6.5482, 0.0000, 0.0000], [0.0000, 6.5482, 0.0000], [0.0000, 0.0000, 8.7476]], "species": ["Zn", "Zn", "I", "I", "I", "I", "Cl", "Cl", "Cl", "Cl"], "fractional_positions": [[0.0000, 0.0000, 0.0000], [0.5000, 0.5000, 0.0000], [0.1510, 0.3490, 0.5000], [0.3490, 0.8490, 0.5000], [0.6510, 0.1510, 0.5000], [0.8490, 0.6510, 0.5000], [0.1878, 0.6878, 0.0000], [0.3122, 0.1878, 0.0000], [0.6878, 0.8122, 0.0000], [0.8122, 0.3122, 0.0000]], "raw_formation_energy_ev_per_atom": -0.41}

Record 3
{"formula": "Tb6PbSe5", "functional": "GGA-PBE", "state": "optimized geometry", "lattice": [[3.5998, -6.2338, 0.0000], [3.5998, 6.2338, 0.0000], [-2.4038, 0.0000, 6.8289]], "species": ["Tb", "Tb", "Tb", "Tb", "Tb", "Tb", "Pb", "Se", "Se", "Se", "Se", "Se"], "fractional_positions": [[0.0720, 0.4139, 0.7415], [0.2423, 0.2423, 0.2548], [0.4139, 0.0720, 0.7415], [0.5861, 0.9280, 0.2585], [0.7577, 0.7577, 0.7452], [0.9280, 0.5861, 0.2585], [0.5000, 0.5000, 0.0000], [0.0000, 0.0000, 0.5000], [0.1679, 0.8321, 0.0000], [0.3373, 0.6627, 0.5000], [0.6627, 0.3373, 0.5000], [0.8321, 0.1679, 0.0000]], "raw_formation_energy_ev_per_atom": -1.57}

Record 4
{"formula": "Zr2Sn2Pb", "functional": "GGA-PBE", "state": "optimized geometry", "lattice": [[7.7689, 0.0000, 0.0000], [0.0000, 7.7689, 0.0000], [0.0000, 0.0000, 4.1026]], "species": ["Zr", "Zr", "Zr", "Zr", "Sn", "Sn", "Sn", "Sn", "Pb", "Pb"], "fractional_positions": [[0.1474, 0.3526, 0.0000], [0.3526, 0.8526, 0.0000], [0.6474, 0.1474, 0.0000], [0.8526, 0.6474, 0.0000], [0.1533, 0.6533, 0.5000], [0.3467, 0.1533, 0.5000], [0.6533, 0.8467, 0.5000], [0.8467, 0.3467, 0.5000], [0.0000, 0.0000, 0.0000], [0.5000, 0.5000, 0.0000]], "formation_energy_ev_per_atom": -0.26}

Record 5
{"formula": "MnCd2Br", "functional": "GGA-PBE", "state": "optimized geometry", "lattice": [[3.2202, 0.0000, 0.0000], [0.0000, 4.8430, 0.0000], [0.0000, 0.0000, 5.9499]], "species": ["Mn", "Cd", "Cd", "Br"], "fractional_positions": [[0.0000, 0.0000, 0.0000], [0.0000, 0.5000, 0.5000], [0.5000, 0.0000, 0.5000], [0.5000, 0.5000, 0.0000]], "raw_formation_energy_ev_per_atom": 0.22}

Record 6
{"formula": "PmNpRh2", "functional": "GGA-PBE", "state": "optimized geometry", "lattice": [[2.2346, 1.2901, 5.1087], [-2.2346, 1.2901, 5.1087], [0.0000, -2.5803, 5.1087]], "species": ["Pm", "Np", "Rh", "Rh"], "fractional_positions": [[0.0000, 0.0000, 0.0000], [0.5000, 0.5000, 0.5000], [0.2160, 0.2160, 0.2160], [0.7840, 0.7840, 0.7840]], "formation_energy_ev_per_atom": -0.47}

Record 7
{"formula": "CdInGa2", "functional": "GGA-PBE", "state": "optimized geometry", "lattice": [[-2.1519, 2.4637, 4.1942], [2.1519, -2.4637, 4.1942], [2.1519, 2.4637, -4.1942]], "species": ["Cd", "In", "Ga", "Ga"], "fractional_positions": [[0.0000, 0.0000, 0.0000], [0.2641, 0.7641, 0.5000], [0.5166, 0.5166, 0.0000], [0.7476, 0.2476, 0.5000]], "formation_energy_ev_per_atom": 0.06}

Record 8
{"formula": "BaZr3", "functional": "GGA-PBE", "state": "optimized geometry", "lattice": [[1.6695, 0.9639, 11.4244], [-1.6695, 0.9639, 11.4244], [0.0000, -1.9278, 11.4244]], "species": ["Ba", "Zr", "Zr", "Zr"], "fractional_positions": [[0.0000, 0.0000, 0.0000], [0.2390, 0.2390, 0.2390], [0.5000, 0.5000, 0.5000], [0.7610, 0.7610, 0.7610]], "formation_energy_ev_per_atom": 0.39}

| no. | total magnetization (μB/cell) |
| --- | --- |
| 1 | 0.0 |
| 2 | 0.0 |
| 3 | 0.0 |
| 4 | 0.0 |
| 5 | 4.2 |
| 6 | 3.1 |
| 7 | 0.0 |
| 8 | 0.0 |